# PBE-GGA HoTiZnHg, relaxed
# spin magnetization	1.668	μB/cell
# electronic total energy	-3.665	eV per atom
# SG	F-43m, No. 216
data_HoTiZnHg
_cell_length_a 4.907
_cell_length_b 4.907
_cell_length_c 4.907
_cell_angle_alpha 60.00
_cell_angle_beta 60.00
_cell_angle_gamma 60.00
_space_group_name_H-M_alt 'P 1'
_space_group_IT_number 1
_space_group_name_Hall 'P 1'
loop_
_atom_site_label
_atom_site_type_symbol
_atom_site_fract_x
_atom_site_fract_y
_atom_site_fract_z
Ti1 Ti 0.250 0.250 0.250
Ho1 Ho 0.750 0.750 0.750
Zn1 Zn 0.500 0.500 0.500
Hg1 Hg 0.000 0.000 0.000